YSc3I | PBE | relaxed

Output
total magnetization	0.0	μB per formula unit
energy above the most stable polymorph in this dataset	689	meV per atom

```
YSc3I
1.0
5.502 0.000 0.000
0.000 5.502 0.000
0.000 0.000 5.502
Y Sc I
1 3 1
Cartesian
0.000 0.000 0.000 Y
0.000 0.000 2.751 Sc
0.000 2.751 0.000 Sc
2.751 0.000 0.000 Sc
2.751 2.751 2.751 I
```


Sc3ZnI | PBE | relaxed

Output
total magnetization	0.0	μB per formula unit
energy above the most stable polymorph in this dataset	0	meV per atom

```
Sc3ZnI
1.0
5.111 0.000 0.000
0.000 5.111 0.000
0.000 0.000 5.111
Sc Zn I
3 1 1
Cartesian
0.000 0.000 2.555 Sc
0.000 2.555 0.000 Sc
2.555 0.000 0.000 Sc
0.000 0.000 0.000 Zn
2.555 2.555 2.555 I
```


Sc2ZnI2 | PBE | relaxed

Output
total magnetization	0.0	μB per formula unit
energy above the most stable polymorph in this dataset	79	meV per atom

```
Sc2ZnI2
1.0
8.436 0.000 0.000
0.000 8.436 0.000
0.000 0.000 3.553
Sc Zn I
4 2 4
Cartesian
1.278 2.940 0.000 Sc
2.940 7.158 0.000 Sc
5.496 1.278 0.000 Sc
7.158 5.496 0.000 Sc
0.000 0.000 1.777 Zn
4.218 4.218 1.777 Zn
1.207 5.424 1.777 I
3.011 1.207 1.777 I
5.424 7.229 1.777 I
7.229 3.011 1.777 I
```


| no. | formation energy from raw total energies (meV per atom) |
| --- | --- |
| 1 | 904 |
| 2 | 96 |
| 3 | -117 |